Record 1
# LiLaDyMg

A relaxed LiLaDyMg crystal (PBE, the Alexandria database).

Properties
ΔE_f: 0.12 eV per formula unit
SG: F-43m
ρ: 4.82 g cm⁻³

POSCAR file:
```
LiLaDyMg
1.0
0.0000 3.8550 3.8550
3.8550 0.0000 3.8550
3.8550 3.8550 0.0000
Li La Dy Mg
1 1 1 1
direct
0.0000 0.0000 0.0000 Li
0.7500 0.7500 0.7500 La
0.2500 0.2500 0.2500 Dy
0.5000 0.5000 0.5000 Mg
```


Record 2
# Li2La2DyMg5

A relaxed Li2La2DyMg5 crystal (PBE, the Alexandria database).

Properties
ΔE_f: -0.52 eV per formula unit
SG: P4/mbm
ρ: 3.62 g cm⁻³

POSCAR file:
```
Li2La2DyMg5
1.0
10.8832 0.0000 0.0000
0.0000 10.8832 0.0000
0.0000 0.0000 4.4641
Li La Dy Mg
4 4 2 10
direct
0.1134 0.3866 0.0000 Li
0.3866 0.8866 0.0000 Li
0.6134 0.1134 0.0000 Li
0.8866 0.6134 0.0000 Li
0.1819 0.6819 0.0000 La
0.3181 0.1819 0.0000 La
0.6819 0.8181 0.0000 La
0.8181 0.3181 0.0000 La
0.0000 0.0000 0.0000 Dy
0.5000 0.5000 0.0000 Dy
0.0000 0.5000 0.5000 Mg
0.0587 0.2139 0.5000 Mg
0.2139 0.9413 0.5000 Mg
0.2861 0.4413 0.5000 Mg
0.4413 0.7139 0.5000 Mg
0.5000 0.0000 0.5000 Mg
0.5587 0.2861 0.5000 Mg
0.7139 0.5587 0.5000 Mg
0.7861 0.0587 0.5000 Mg
0.9413 0.7861 0.5000 Mg
```


Record 3
# LiLaDyMn

A relaxed LiLaDyMn crystal (PBE, the Alexandria database).

Properties
ΔE_f: 0.61 eV per formula unit
SG: F-43m
ρ: 6.20 g cm⁻³

POSCAR file:
```
LiLaDyMn
1.0
0.0000 3.6497 3.6497
3.6497 0.0000 3.6497
3.6497 3.6497 0.0000
Li La Dy Mn
1 1 1 1
direct
0.0000 0.0000 0.0000 Li
0.7500 0.7500 0.7500 La
0.2500 0.2500 0.2500 Dy
0.5000 0.5000 0.5000 Mn
```


Record 4
# LiLaNdDy

A relaxed LiLaNdDy crystal (PBE, the Alexandria database).

Properties
ΔE_f: 0.61 eV per formula unit
SG: F-43m
ρ: 5.94 g cm⁻³

POSCAR file:
```
LiLaNdDy
1.0
0.0000 3.9842 3.9842
3.9842 0.0000 3.9842
3.9842 3.9842 0.0000
Li La Nd Dy
1 1 1 1
direct
0.0000 0.0000 0.0000 Li
0.2500 0.2500 0.2500 La
0.7500 0.7500 0.7500 Nd
0.5000 0.5000 0.5000 Dy
```


Record 5
# LiLaDyOs

A relaxed LiLaDyOs crystal (PBE, the Alexandria database).

Properties
ΔE_f: -0.53 eV per formula unit
SG: F-43m
ρ: 9.27 g cm⁻³

POSCAR file:
```
LiLaDyOs
1.0
0.0000 3.5472 3.5472
3.5472 0.0000 3.5472
3.5472 3.5472 0.0000
Li La Dy Os
1 1 1 1
direct
0.0000 0.0000 0.0000 Li
0.2500 0.2500 0.2500 La
0.7500 0.7500 0.7500 Dy
0.5000 0.5000 0.5000 Os
```


Record 6
# LiLaDyPb

A relaxed LiLaDyPb crystal (PBE, the Alexandria database).

Properties
ΔE_f: -1.21 eV per formula unit
SG: F-43m
ρ: 7.53 g cm⁻³

POSCAR file:
```
LiLaDyPb
1.0
0.0000 3.8455 3.8455
3.8455 0.0000 3.8455
3.8455 3.8455 0.0000
Li La Dy Pb
1 1 1 1
direct
0.0000 0.0000 0.0000 Li
0.2500 0.2500 0.2500 La
0.7500 0.7500 0.7500 Dy
0.5000 0.5000 0.5000 Pb
```


Record 7
# LiLaDyRh

A relaxed LiLaDyRh crystal (PBE, the Alexandria database).

Properties
ΔE_f: -1.56 eV per formula unit
SG: F-43m
ρ: 7.43 g cm⁻³

POSCAR file:
```
LiLaDyRh
1.0
0.0000 3.5823 3.5823
3.5823 0.0000 3.5823
3.5823 3.5823 0.0000
Li La Dy Rh
1 1 1 1
direct
0.0000 0.0000 0.0000 Li
0.2500 0.2500 0.2500 La
0.7500 0.7500 0.7500 Dy
0.5000 0.5000 0.5000 Rh
```


Record 8
# LiLaDyRu

A relaxed LiLaDyRu crystal (PBE, the Alexandria database).

Properties
ΔE_f: -0.76 eV per formula unit
SG: F-43m
ρ: 7.54 g cm⁻³

POSCAR file:
```
LiLaDyRu
1.0
0.0000 3.5586 3.5586
3.5586 0.0000 3.5586
3.5586 3.5586 0.0000
Li La Dy Ru
1 1 1 1
direct
0.0000 0.0000 0.0000 Li
0.7500 0.7500 0.7500 La
0.2500 0.2500 0.2500 Dy
0.5000 0.5000 0.5000 Ru
```


Record 9
# LiLa3Dy3S8

A relaxed LiLa3Dy3S8 crystal (PBE, the Alexandria database).

Properties
Formation energy without anion corrections: -2.03 eV/atom
SG: R-3m
ρ: 5.36 g cm⁻³

POSCAR file:
```
LiLa3Dy3S8
1.0
3.9738 2.2943 6.6123
-3.9738 2.2943 6.6123
0.0000 -4.5886 6.6123
Li La Dy S
1 3 3 8
direct
0.0000 0.0000 0.0000 Li
0.0000 0.0000 0.5000 La
0.0000 0.5000 0.0000 La
0.5000 0.0000 0.0000 La
0.0000 0.5000 0.5000 Dy
0.5000 0.0000 0.5000 Dy
0.5000 0.5000 0.0000 Dy
0.2431 0.2431 0.7452 S
0.2431 0.7452 0.2431 S
0.2548 0.7569 0.7569 S
0.2562 0.2562 0.2562 S
0.7438 0.7438 0.7438 S
0.7452 0.2431 0.2431 S
0.7569 0.2548 0.7569 S
0.7569 0.7569 0.2548 S
```